This record from Alexandria via LeMat-Bulk describes a relaxed structure of Rb2TlPd2. The functional is GGA-PBE.

Calculated values
Energy relative to the elements in meV/atom: 0
Energy above the most stable polymorph in this dataset in eV per atom: 0.157
Space-group type: P4/mbm (127)

a b c (Å): 7.2083 7.2083 5.6855
angles (deg): 90.00 90.00 90.00
Last column: nearest neighbours and their distance in Å.
Atoms (fractional coordinates):
Rb 0.1762 0.3238 0.0000  6 Pd 3.44-3.63, 5 Rb 3.59-3.76
Rb 0.3238 0.8238 0.0000  6 Pd 3.44-3.63, 5 Rb 3.59-3.76
Rb 0.6762 0.1762 0.0000  6 Pd 3.44-3.63, 5 Rb 3.59-3.76
Rb 0.8238 0.6762 0.0000  6 Pd 3.44-3.63, 5 Rb 3.59-3.76
Tl 0.0000 0.0000 0.5000  4 Pd 2.81
Tl 0.5000 0.5000 0.5000  4 Pd 2.81
Pd 0.1331 0.6331 0.5000  1 Pd 2.71, 2 Tl 2.81
Pd 0.3669 0.1331 0.5000  1 Pd 2.71, 2 Tl 2.81
Pd 0.6331 0.8669 0.5000  1 Pd 2.71, 2 Tl 2.81
Pd 0.8669 0.3669 0.5000  1 Pd 2.71, 2 Tl 2.81